Compound: Hg2TeO
Source: the Alexandria database
Functional: PBE
Structure: relaxed

abc: 5.969 5.969 7.233
angles: 65.63 65.63 90.00
Positions (direct):
O (0.500, 0.500, 0.000)
Hg (0.875, 0.797, 0.750)
O (0.250, 0.750, 0.500)
Hg (0.375, 0.453, 0.750)
Te (0.000, 0.000, 0.000)
Hg (0.547, 0.125, 0.250)
Te (0.750, 0.250, 0.500)
Hg (0.203, 0.625, 0.250)

Results
SG: I-42d, No. 122
Energy relative to the lowest polymorph listed for this composition: 0 meV per atom
Density of states at the Fermi level: 0.096 states/eV per atom

Compound: Hg3TeO6
Source: the Alexandria database
Functional: PBE
Structure: relaxed

abc: 6.886 6.886 6.886
angles: 91.78 91.78 91.78
Positions (direct):
O (0.507, 0.488, 0.214)
Hg (0.086, 0.251, 0.584)
O (0.984, 0.998, 0.713)
O (0.998, 0.713, 0.984)
O (0.493, 0.512, 0.786)
Hg (0.416, 0.914, 0.749)
Hg (0.749, 0.416, 0.914)
Te (0.500, 0.500, 0.500)
O (0.786, 0.493, 0.512)
Hg (0.914, 0.749, 0.416)
O (0.214, 0.507, 0.488)
Hg (0.584, 0.086, 0.251)
O (0.002, 0.287, 0.016)
O (0.512, 0.786, 0.493)
O (0.287, 0.016, 0.002)
O (0.713, 0.984, 0.998)
Hg (0.251, 0.584, 0.086)
O (0.016, 0.002, 0.287)
O (0.488, 0.214, 0.507)
Te (0.000, 0.000, 0.000)

Results
SG: R-3, No. 148
Energy relative to the lowest polymorph listed for this composition: 12 meV per atom

Compound: Hg2TeO5
Source: the Alexandria database
Functional: PBE
Structure: relaxed

abc: 6.060 7.514 10.127
angles: 90.00 90.00 90.00
Positions (direct):
O (0.132, 0.119, 0.998)
O (0.368, 0.619, 0.998)
O (0.455, 0.710, 0.557)
Hg (0.729, 0.770, 0.828)
O (0.153, 0.839, 0.814)
Hg (0.276, 0.023, 0.664)
O (0.339, 0.909, 0.182)
O (0.042, 0.557, 0.449)
Te (0.259, 0.367, 0.998)
O (0.161, 0.409, 0.182)
O (0.847, 0.161, 0.314)
O (0.458, 0.057, 0.449)
Te (0.241, 0.867, 0.998)
Hg (0.271, 0.230, 0.328)
O (0.632, 0.381, 0.498)
O (0.955, 0.790, 0.057)
Hg (0.776, 0.477, 0.164)
Hg (0.724, 0.977, 0.164)
Hg (0.224, 0.523, 0.664)
O (0.868, 0.881, 0.498)
Hg (0.229, 0.730, 0.328)
O (0.545, 0.290, 0.057)
Te (0.759, 0.133, 0.498)
O (0.347, 0.339, 0.814)
O (0.661, 0.091, 0.682)
O (0.958, 0.443, 0.949)
Te (0.741, 0.633, 0.498)
O (0.542, 0.943, 0.949)
O (0.839, 0.591, 0.682)
Hg (0.771, 0.270, 0.828)
O (0.653, 0.661, 0.314)
O (0.045, 0.210, 0.557)

Results
SG: Pna2_1, No. 33
Energy relative to the lowest polymorph listed for this composition: 0 meV per atom

Compound: HgTeO2
Source: the Alexandria database
Functional: PBE
Structure: relaxed

abc: 6.653 6.653 6.654
angles: 60.00 60.00 90.00
Positions (direct):
Te (0.500, 0.500, 0.000)
O (0.373, 0.125, 0.250)
O (0.875, 0.623, 0.750)
Hg (0.000, 0.000, 0.000)
O (0.377, 0.625, 0.250)
O (0.375, 0.627, 0.750)
Hg (0.750, 0.250, 0.500)
Te (0.250, 0.750, 0.500)

Results
SG: I-42d, No. 122
Energy relative to the lowest polymorph listed for this composition: 105 meV per atom
Density of states at the Fermi level: 0.002 states/eV per atom

Compound: Hg2TeO2
Source: the Alexandria database
Functional: PBE
Structure: relaxed

abc: 7.458 7.458 3.135
angles: 90.00 90.00 90.00
Positions (direct):
O (0.138, 0.638, 0.500)
Hg (0.136, 0.364, 0.000)
O (0.638, 0.862, 0.500)
Hg (0.636, 0.136, 0.000)
Te (0.000, 0.000, 0.000)
Hg (0.364, 0.864, 0.000)
O (0.862, 0.362, 0.500)
O (0.362, 0.138, 0.500)
Te (0.500, 0.500, 0.000)
Hg (0.864, 0.636, 0.000)

Results
SG: P4/mbm, No. 127
Energy relative to the lowest polymorph listed for this composition: 81 meV per atom
Density of states at the Fermi level: 0.751 states/eV per atom

Compound: Hg3TeO6
Source: the Alexandria database
Functional: PBE
Structure: relaxed

abc: 12.026 12.026 12.026
angles: 109.47 109.47 109.47
Positions (direct):
Hg (0.253, 0.175, 0.328)
Te (0.500, 0.000, 0.500)
O (0.359, 0.860, 0.504)
Te (0.500, 0.500, 0.000)
Hg (0.653, 0.075, 0.828)
Te (0.000, 0.000, 0.000)
Hg (0.847, 0.675, 0.422)
Hg (0.422, 0.247, 0.075)
Hg (0.175, 0.828, 0.753)
O (0.859, 0.355, 0.500)
Hg (0.575, 0.422, 0.747)
Te (0.000, 0.500, 0.500)
O (0.645, 0.000, 0.641)
O (0.360, 0.500, 0.856)
O (0.856, 0.862, 0.502)
O (0.644, 0.640, 0.000)
O (0.354, 0.498, 0.360)
Hg (0.172, 0.747, 0.325)
Hg (0.578, 0.753, 0.925)
O (0.641, 0.140, 0.496)
O (0.141, 0.645, 0.500)
O (0.138, 0.998, 0.644)
Hg (0.753, 0.425, 0.078)
Hg (0.672, 0.347, 0.425)
O (0.146, 0.506, 0.144)
Hg (0.747, 0.825, 0.672)
O (0.998, 0.144, 0.638)
Hg (0.828, 0.253, 0.675)
Hg (0.825, 0.172, 0.247)
O (0.506, 0.644, 0.646)
O (0.640, 0.638, 0.494)
O (0.644, 0.146, 0.006)
O (0.496, 0.856, 0.355)
Hg (0.675, 0.922, 0.347)
O (0.144, 0.138, 0.498)
Hg (0.078, 0.153, 0.825)
Te (0.500, 0.500, 0.500)
Hg (0.347, 0.925, 0.172)
O (0.362, 0.006, 0.860)
O (0.356, 0.854, 0.994)
Te (0.000, 0.500, 0.000)
O (0.860, 0.004, 0.859)
O (0.504, 0.144, 0.645)
O (0.502, 0.140, 0.146)
O (0.144, 0.145, 0.004)
O (0.500, 0.644, 0.140)
O (0.854, 0.494, 0.856)
Te (0.500, 0.000, 0.000)
O (0.996, 0.641, 0.640)
O (0.500, 0.356, 0.860)
Hg (0.075, 0.328, 0.153)
O (0.646, 0.502, 0.640)
O (0.856, 0.855, 0.996)
O (0.000, 0.141, 0.145)
O (0.994, 0.640, 0.138)
Hg (0.153, 0.325, 0.578)
O (0.145, 0.504, 0.644)
O (0.355, 0.000, 0.359)
O (0.140, 0.646, 0.002)
Hg (0.925, 0.672, 0.847)
Hg (0.325, 0.078, 0.653)
O (0.638, 0.994, 0.140)
O (0.855, 0.496, 0.356)
O (0.494, 0.356, 0.354)
O (0.002, 0.856, 0.362)
O (0.860, 0.354, 0.998)
O (0.862, 0.002, 0.356)
Hg (0.247, 0.575, 0.922)
O (0.640, 0.500, 0.144)
O (0.360, 0.362, 0.506)
O (0.000, 0.859, 0.855)
O (0.498, 0.860, 0.854)
Hg (0.425, 0.578, 0.253)
O (0.140, 0.996, 0.141)
Te (0.000, 0.000, 0.500)
Hg (0.328, 0.653, 0.575)
Hg (0.922, 0.847, 0.175)
O (0.004, 0.359, 0.360)
O (0.356, 0.360, 0.000)
O (0.006, 0.360, 0.862)

Results
SG: Ia-3, No. 206
Energy relative to the lowest polymorph listed for this composition: 0 meV per atom

Compound: Hg3TeO6
Source: the Alexandria database
Functional: PBE
Structure: relaxed

abc: 11.905 11.905 11.905
angles: 109.47 109.47 109.47
Positions (direct):
Hg (0.906, 0.656, 0.813)
Hg (0.594, 0.406, 0.750)
Hg (0.094, 0.750, 0.406)
O (0.363, 0.358, 0.008)
Hg (0.344, 0.250, 0.156)
Hg (0.844, 0.156, 0.250)
O (0.637, 0.995, 0.145)
Hg (0.656, 0.906, 0.313)
Hg (0.813, 0.406, 0.156)
O (0.505, 0.150, 0.642)
O (0.505, 0.355, 0.363)
O (0.008, 0.863, 0.858)
O (0.850, 0.355, 0.492)
Te (0.500, 0.000, 0.000)
O (0.650, 0.142, 0.505)
O (0.858, 0.350, 0.995)
O (0.995, 0.358, 0.850)
O (0.142, 0.650, 0.005)
Te (0.500, 0.000, 0.500)
O (0.995, 0.637, 0.645)
O (0.005, 0.642, 0.150)
Hg (0.156, 0.313, 0.906)
O (0.005, 0.363, 0.355)
O (0.642, 0.005, 0.650)
O (0.863, 0.855, 0.005)
O (0.495, 0.850, 0.358)
O (0.008, 0.145, 0.650)
Hg (0.844, 0.687, 0.094)
Te (0.000, 0.500, 0.000)
O (0.850, 0.495, 0.858)
O (0.508, 0.858, 0.863)
O (0.350, 0.858, 0.495)
O (0.358, 0.995, 0.350)
O (0.855, 0.863, 0.505)
Te (0.500, 0.500, 0.500)
Hg (0.406, 0.813, 0.656)
O (0.355, 0.850, 0.992)
Hg (0.594, 0.187, 0.344)
Hg (0.750, 0.656, 0.344)
Te (0.000, 0.000, 0.500)
O (0.992, 0.855, 0.350)
O (0.492, 0.142, 0.137)
O (0.350, 0.492, 0.355)
Hg (0.250, 0.906, 0.094)
O (0.363, 0.005, 0.855)
O (0.150, 0.645, 0.508)
O (0.650, 0.508, 0.645)
O (0.863, 0.008, 0.358)
Hg (0.344, 0.094, 0.687)
Hg (0.250, 0.344, 0.656)
O (0.642, 0.637, 0.492)
O (0.142, 0.492, 0.637)
Hg (0.687, 0.844, 0.594)
Hg (0.906, 0.250, 0.594)
O (0.355, 0.505, 0.863)
O (0.492, 0.350, 0.855)
O (0.495, 0.645, 0.637)
O (0.150, 0.505, 0.142)
Hg (0.656, 0.750, 0.844)
Te (0.000, 0.500, 0.500)
O (0.855, 0.992, 0.850)
O (0.508, 0.650, 0.145)
Hg (0.750, 0.094, 0.906)
O (0.992, 0.137, 0.142)
O (0.137, 0.992, 0.642)
O (0.145, 0.008, 0.150)
Hg (0.156, 0.844, 0.750)
O (0.637, 0.642, 0.992)
O (0.645, 0.150, 0.008)
Hg (0.406, 0.594, 0.250)
O (0.645, 0.495, 0.137)
O (0.358, 0.363, 0.508)
Te (0.500, 0.500, 0.000)
O (0.858, 0.508, 0.363)
Te (0.000, 0.000, 0.000)
Hg (0.094, 0.344, 0.187)
Hg (0.313, 0.156, 0.406)
Hg (0.187, 0.594, 0.844)
O (0.145, 0.137, 0.495)
O (0.137, 0.145, 0.995)

Results
SG: Ia-3d, No. 230
Energy relative to the lowest polymorph listed for this composition: 63 meV per atom

Compound: HgTeO2
Source: the Alexandria database
Functional: PBE
Structure: relaxed

abc: 7.022 7.022 7.022
angles: 28.40 28.40 28.40
Positions (direct):
O (0.898, 0.898, 0.898)
O (0.102, 0.102, 0.102)
Hg (0.500, 0.500, 0.500)
Te (0.000, 0.000, 0.000)

Results
SG: R-3m, No. 166
Energy relative to the lowest polymorph listed for this composition: 240 meV per atom
Density of states at the Fermi level: 0.224 states/eV per atom

Compound: HgTeO2
Source: the Alexandria database
Functional: PBE
Structure: relaxed

abc: 4.367 4.367 4.367
angles: 60.00 60.00 60.00
Positions (direct):
Hg (0.500, 0.500, 0.500)
Te (0.000, 0.000, 0.000)
O (0.250, 0.250, 0.250)
O (0.750, 0.750, 0.750)

Results
SG: Fm-3m, No. 225
Energy relative to the lowest polymorph listed for this composition: 828 meV per atom
Density of states at the Fermi level: 0.596 states/eV per atom

Compound: HgTe2O
Source: the Alexandria database
Functional: PBE
Structure: relaxed

abc: 4.793 4.793 4.793
angles: 72.23 72.23 72.23
Positions (direct):
Te (0.192, 0.192, 0.192)
Te (0.808, 0.808, 0.808)
O (0.000, 0.000, 0.000)
Hg (0.500, 0.500, 0.500)

Results
SG: R-3m, No. 166
Energy relative to the lowest polymorph listed for this composition: 93 meV per atom
Density of states at the Fermi level: 0.583 states/eV per atom

Compound: Hg2TeO4
Source: the Alexandria database
Functional: PBE
Structure: relaxed

abc: 5.915 4.946 4.946
angles: 89.01 114.26 65.74
Positions (direct):
Te (0.000, 0.054, 0.946)
Hg (0.500, 0.298, 0.202)
O (0.440, 0.830, 0.170)
O (0.560, 0.270, 0.730)
Hg (0.500, 0.798, 0.702)
O (0.000, 0.669, 0.918)
O (0.000, 0.082, 0.331)

Results
SG: Fmm2, No. 42
Energy relative to the lowest polymorph listed for this composition: 0 meV per atom

Compound: Hg2TeO4
Source: the Alexandria database
Functional: PBE
Structure: relaxed

abc: 4.124 4.124 6.925
angles: 72.68 72.68 90.00
Positions (direct):
O (0.000, 0.500, 0.000)
O (0.500, 0.000, 0.000)
O (0.838, 0.838, 0.324)
O (0.162, 0.162, 0.676)
Hg (0.658, 0.658, 0.684)
Hg (0.342, 0.342, 0.316)
Te (0.000, 0.000, 0.000)

Results
SG: I4/mmm, No. 139
Energy relative to the lowest polymorph listed for this composition: 195 meV per atom
Density of states at the Fermi level: 0.203 states/eV per atom

Compound: Hg2TeO2
Source: the Alexandria database
Functional: PBE
Structure: relaxed

abc: 4.184 4.184 6.029
angles: 69.70 69.70 90.00
Each line ends with the local moment (μB).
Positions (direct):
Hg (0.352, 0.352, 0.296)  0.03
Hg (0.648, 0.648, 0.704)  0.03
Te (0.000, 0.000, 0.000)  0.64
O (0.750, 0.250, 0.500)  0.38
O (0.250, 0.750, 0.500)  0.38

Results
SG: I4/mmm, No. 139
Energy relative to the lowest polymorph listed for this composition: 0 meV per atom
Density of states at the Fermi level: 0.256 states/eV per atom

Compound: HgTeO4
Source: the Alexandria database
Functional: PBE
Structure: relaxed

abc: 6.222 5.777 5.777
angles: 103.05 104.60 104.60
Positions (direct):
O (0.531, 0.848, 0.127)
Te (0.250, 0.976, 0.024)
Hg (0.750, 0.603, 0.397)
O (0.905, 0.343, 0.231)
O (0.095, 0.657, 0.769)
Te (0.750, 0.024, 0.976)
O (0.469, 0.152, 0.873)
O (0.405, 0.231, 0.343)
O (0.031, 0.127, 0.848)
Hg (0.250, 0.397, 0.603)
O (0.969, 0.873, 0.152)
O (0.595, 0.769, 0.657)

Results
SG: C2/c, No. 15

Compound: Hg2TeO5
Source: the Alexandria database
Functional: PBE
Structure: relaxed

abc: 5.780 7.998 6.528
angles: 61.51 63.72 68.82
Positions (direct):
O (0.648, 0.404, 0.014)
O (0.981, 0.634, 0.128)
O (0.755, 0.277, 0.637)
Hg (0.204, 0.174, 0.310)
Hg (0.312, 0.674, 0.810)
Te (0.949, 0.273, 0.823)
O (0.330, 0.777, 0.137)
O (0.834, 0.019, 0.067)
Hg (0.594, 0.991, 0.826)
O (0.258, 0.134, 0.628)
Hg (0.589, 0.491, 0.326)
O (0.934, 0.904, 0.514)
O (0.587, 0.747, 0.460)
O (0.206, 0.247, 0.960)
O (0.080, 0.519, 0.567)
Te (0.954, 0.773, 0.323)

Results
SG: Cc, No. 9
Energy relative to the lowest polymorph listed for this composition: 28 meV per atom
Density of states at the Fermi level: 0.242 states/eV per atom

Compound: HgTe3O
Source: the Alexandria database
Functional: PBE
Structure: relaxed

abc: 5.562 5.562 5.562
angles: 90.00 90.00 90.00
Positions (direct):
Te (0.000, 0.500, 0.000)
Hg (0.000, 0.000, 0.000)
Te (0.500, 0.000, 0.000)
Te (0.000, 0.000, 0.500)
O (0.500, 0.500, 0.500)

Results
SG: Pm-3m, No. 221
Energy relative to the lowest polymorph listed for this composition: 1033 meV per atom
Density of states at the Fermi level: 2.990 states/eV per atom

Density across the listed records, respectively: 8.645, 8.407, 8.770, 5.743, 10.678, 8.189, 8.441, 8.638, 10.156, 8.069, 8.397, 9.213, 10.124, 7.043, 8.660, 5.784 g cm⁻³.
Formation energy from raw total energies across the listed records, respectively: -127.3, -589.4, -618.4, -470.4, 319.2, -601.4, -538.6, -335.9, 252.5, 55.8, -517.7, -322.6, 238.6, -628.0, -590.5, 1253.3 meV/atom.